# 1
First-principles (GGA-PBE) data for a geometry-optimized InGa2Te2 structure, as listed in the Alexandria database.

Cell: 4.0997 4.0997 8.5983 Å, 76.21 76.21 90.00°
Positions (direct):
Te (0.3944, 0.3944, 0.2111)
Ga (0.2500, 0.7500, 0.5000)
Ga (0.7500, 0.2500, 0.5000)
Te (0.6056, 0.6056, 0.7889)
In (0.0000, 0.0000, 0.0000)

Calculated values
- Distance to the lowest polymorph of the same formula: 0.1101 eV/atom
- Formation energy (no corrections): -0.034 eV/atom
- Total DFT energy (no corrections): -15.25 eV per formula unit
- Density: 6.2 Mg/m³

# 2
First-principles (GGA-PBE) data for a geometry-optimized Tl4TcPt structure, as listed in the Alexandria database.

Cell: 6.0657 6.0657 6.0657 Å, 60.00 60.00 60.00°
Last column: magnetic moment on the atom in μB.
Positions (direct):
Tc (0.0000, 0.0000, 0.0000)  3.25
Tl (0.3752, 0.8744, 0.3752)  -0.01
Tl (0.3752, 0.3752, 0.8744)  -0.01
Pt (0.7500, 0.7500, 0.7500)  0.14
Tl (0.8744, 0.3752, 0.3752)  -0.01
Tl (0.3752, 0.3752, 0.3752)  -0.01

Calculated values
- ΔE_f: 103.54 kJ/mol of atoms
- Total DFT energy (no corrections): -19.43 eV per formula unit
- Density: 11.7 Mg/m³

# 3
First-principles (GGA-PBE) data for a geometry-optimized KBaSr2Cl structure, as listed in the Alexandria database.

Cell: 6.1816 6.1816 6.8323 Å, 90.00 90.00 90.00°
Positions (direct):
K (0.5000, 0.5000, 0.5000)
Sr (0.5000, 0.0000, 0.0000)
Cl (0.0000, 0.0000, 0.0000)
Sr (0.0000, 0.5000, 0.0000)
Ba (0.0000, 0.0000, 0.5000)

Calculated values
- Distance to the lowest polymorph of the same formula: 0.0460 eV/atom
- Formation energy (no corrections): -0.535 eV/atom
- Total DFT energy (no corrections): -10.91 eV per formula unit
- Density: 2.5 Mg/m³

# 4
First-principles (GGA-PBE) data for a geometry-optimized Dy3Tm4Pt4 structure, as listed in the Alexandria database.

Cell: 3.8027 8.6959 9.3666 Å, 117.66 101.71 90.00°
Positions (direct):
Tm (0.3337, 0.5213, 0.6674)
Tm (0.3337, 0.1461, 0.6674)
Tm (0.6663, 0.4787, 0.3326)
Pt (0.7467, 0.2467, 0.4934)
Dy (0.9004, 0.9004, 0.8009)
Pt (0.5000, 0.7907, 0.0000)
Pt (0.2533, 0.7533, 0.5066)
Dy (0.0000, 0.5000, 0.0000)
Dy (0.0996, 0.0996, 0.1991)
Pt (0.5000, 0.2093, 0.0000)
Tm (0.6663, 0.8539, 0.3326)

Calculated values
- ΔE_f: -92.04 kJ/mol of atoms
- Total DFT energy (no corrections): -66.35 eV per formula unit
- Density: 12.1 Mg/m³

In the order shown, the computed calculated volume values come out to 27.2, 26.3, 52.2, 24.3 A^3/atom.